Entry from Alexandria: a relaxed Sr2Li6TlZn crystal (PBE-GGA).

The structure in POSCAR format:
```
Sr2Li6TlZn
1.0
5.135 -5.143 0.000
5.135 5.143 0.000
-5.101 0.000 5.163
Sr Li Tl Zn
2 6 1 1
Direct
0.250 0.750 0.000
0.750 0.250 0.000
0.241 0.241 0.500
0.241 0.241 0.983
0.241 0.759 0.500
0.759 0.241 0.500
0.759 0.759 0.017
0.759 0.759 0.500
0.500 0.500 0.500
0.000 0.000 0.500
```

Calculated values
ΔH_f (0 K)	-26	meV/atom
Fermi-level density of states	7.359	states/eV/cell
magnetic moment	0.000	μB/cell

---

Entry from Alexandria: a relaxed CsCaBrF2 crystal (PBE-GGA).

The structure in POSCAR format:
```
CsCaBrF2
1.0
4.727 0.000 0.000
0.000 4.727 0.000
0.000 0.000 5.853
Cs Ca Br F
1 1 1 2
Direct
0.000 0.000 0.000
0.500 0.500 0.500
0.500 0.500 0.000
0.000 0.500 0.500
0.500 0.000 0.500
```

Calculated values
Fermi-level density of states	0.000	states/eV/cell
magnetic moment	0.000	μB/cell
formation energy (no corrections)	-66.133	kcal/mol of atoms

---

Entry from Alexandria: a relaxed Be3Co2 crystal (PBE-GGA).

The structure in POSCAR format:
```
Be3Co2
1.0
2.410 0.000 0.000
-1.205 2.087 0.000
0.000 0.000 27.404
Be Co
9 6
Direct
0.000 0.000 0.000
0.000 0.000 0.201
0.000 0.000 0.799
0.333 0.667 0.465
0.333 0.667 0.667
0.333 0.667 0.868
0.667 0.333 0.132
0.667 0.333 0.333
0.667 0.333 0.535
0.000 0.000 0.400
0.000 0.000 0.600
0.333 0.667 0.066
0.333 0.667 0.267
0.667 0.333 0.733
0.667 0.333 0.934
```

Calculated values
ΔH_f (0 K)	-35	meV/atom
Fermi-level density of states	10.839	states/eV/cell
offset from the most stable computed form	210.9	meV per atom
magnetic moment	4.557	μB/cell

---

Entry from Alexandria: a relaxed Pd3Pt2Rh2 crystal (PBE-GGA).

The structure in POSCAR format:
```
Pd3Pt2Rh2
1.0
4.794 0.000 0.000
-0.800 4.738 0.000
-0.795 -0.941 4.650
Pd Pt Rh
3 2 2
Direct
0.000 0.000 0.000
0.288 0.573 0.143
0.712 0.427 0.857
0.423 0.855 0.709
0.577 0.145 0.291
0.137 0.284 0.565
0.863 0.716 0.435
```

Calculated values
ΔH_f (0 K)	24	meV/atom
Fermi-level density of states	14.671	states/eV/cell
offset from the most stable computed form	2.9	meV per atom
magnetic moment	1.344	μB/cell